{"formula": "Li2ErGaS4", "functional": "PBE", "state": "optimized geometry", "lattice": [[-5.141, -0.845, 5.379], [0.588, -7.439, -0.629], [6.209, 4.341, 1.155]], "species": ["S", "S", "S", "S", "S", "S", "S", "S", "Er", "Er", "Ga", "Ga", "Li", "Li", "Li", "Li"], "fractional_positions": [[0.256, 0.755, 0.006], [0.745, 0.756, 0.972], [0.744, 0.755, 0.528], [0.255, 0.756, 0.506], [0.255, 0.244, 0.028], [0.744, 0.245, 0.994], [0.745, 0.244, 0.494], [0.256, 0.245, 0.472], [0.000, 0.500, 0.500], [0.000, 0.500, 0.000], [0.500, 0.500, 0.500], [0.000, 0.000, 0.000], [0.000, 0.000, 0.500], [0.500, 0.000, 0.000], [0.500, 0.500, 0.000], [0.500, 0.000, 0.500]], "magmom_total_mub_per_fu": 0.00, "spacegroup": "No. 74", "raw_formation_energy_ev_per_atom": -1.316}

---

{"formula": "LiErSc2Ga4", "functional": "PBE", "state": "optimized geometry", "lattice": [[4.733, 0.000, 0.000], [2.366, 4.099, 0.000], [2.366, 1.366, 7.941]], "species": ["Ga", "Ga", "Ga", "Ga", "Sc", "Sc", "Li", "Er"], "fractional_positions": [[0.127, 0.127, 0.619], [0.873, 0.873, 0.381], [0.379, 0.379, 0.863], [0.621, 0.621, 0.137], [0.244, 0.244, 0.267], [0.756, 0.756, 0.733], [0.500, 0.500, 0.500], [0.000, 0.000, 0.000]], "magmom_total_mub_per_fu": 0.00, "dos_ef_per_ev_cell": 3.4, "spacegroup": "No. 166", "delta_e_f_mev_per_atom": -510}

---

{"formula": "Li2Sm2ErGa2", "functional": "PBE", "state": "optimized geometry", "lattice": [[4.600, 0.000, 0.000], [2.300, 3.984, 0.000], [2.300, 1.328, 8.915]], "species": ["Sm", "Sm", "Ga", "Ga", "Er", "Li", "Li"], "fractional_positions": [[0.875, 0.875, 0.375], [0.125, 0.125, 0.625], [0.266, 0.266, 0.202], [0.734, 0.734, 0.798], [0.000, 0.000, 0.000], [0.610, 0.610, 0.171], [0.390, 0.390, 0.829]], "magmom_total_mub_per_fu": 0.00, "dos_ef_per_ev_cell": 5.5, "spacegroup": "No. 166", "delta_e_f_mev_per_atom": -279}

---

{"formula": "Li2SmEr2Ga2", "functional": "PBE", "state": "optimized geometry", "lattice": [[4.625, 0.000, 0.000], [2.313, 4.005, 0.000], [2.313, 1.335, 8.702]], "species": ["Ga", "Ga", "Sm", "Er", "Er", "Li", "Li"], "fractional_positions": [[0.258, 0.258, 0.226], [0.742, 0.742, 0.774], [0.000, 0.000, 0.000], [0.128, 0.128, 0.617], [0.872, 0.872, 0.383], [0.403, 0.403, 0.792], [0.597, 0.597, 0.208]], "magmom_total_mub_per_fu": 0.00, "dos_ef_per_ev_cell": 5.2, "spacegroup": "No. 166", "delta_e_f_mev_per_atom": -279}

---

{"formula": "LiErGaSn", "functional": "PBE", "state": "optimized geometry", "lattice": [[-3.380, 0.049, -2.678], [-0.981, -4.083, 1.164], [-2.588, 1.562, 3.294]], "species": ["Er", "Li", "Ga", "Sn"], "fractional_positions": [[0.500, 0.500, 0.000], [0.500, 0.000, 0.500], [0.000, 0.000, 0.000], [0.000, 0.500, 0.500]], "magmom_total_mub_per_fu": 0.00, "dos_ef_per_ev_cell": 1.4, "e_above_lowest_polymorph_kj_per_mol_atoms": 0.00, "spacegroup": "No. 47", "delta_e_f_mev_per_atom": -510}

---

{"formula": "LiErGaSn", "functional": "PBE", "state": "optimized geometry", "lattice": [[4.995, 0.000, 0.000], [2.497, 4.325, 0.000], [2.497, 1.442, 4.078]], "species": ["Li", "Er", "Ga", "Sn"], "fractional_positions": [[0.500, 0.500, 0.500], [0.000, 0.000, 0.000], [0.750, 0.750, 0.750], [0.250, 0.250, 0.250]], "magmom_total_mub_per_fu": 0.00, "dos_ef_per_ev_cell": 1.9, "e_above_lowest_polymorph_kj_per_mol_atoms": 9.12, "spacegroup": "No. 216", "delta_e_f_mev_per_atom": -415}

---

{"formula": "Li2ErGaSn2", "functional": "PBE", "state": "optimized geometry", "lattice": [[-4.354, 0.527, -0.362], [-0.656, -0.505, 7.169], [0.966, 8.460, 0.684]], "species": ["Ga", "Ga", "Sn", "Sn", "Sn", "Sn", "Er", "Er", "Li", "Li", "Li", "Li"], "fractional_positions": [[0.500, 0.673, 0.338], [0.500, 0.173, 0.662], [0.000, 0.243, 0.843], [0.500, 0.774, 0.658], [0.500, 0.274, 0.342], [0.000, 0.743, 0.157], [0.000, 0.493, 0.543], [0.000, 0.993, 0.457], [0.500, 0.522, 0.920], [0.000, 0.341, 0.156], [0.000, 0.841, 0.844], [0.500, 0.022, 0.080]], "magmom_total_mub_per_fu": 0.00, "dos_ef_per_ev_cell": 1.5, "spacegroup": "No. 26", "delta_e_f_mev_per_atom": -434}

---

{"formula": "SrLiErGa", "functional": "PBE", "state": "optimized geometry", "lattice": [[5.323, 0.000, 0.000], [2.662, 4.610, 0.000], [2.662, 1.537, 4.346]], "species": ["Li", "Er", "Ga", "Sr"], "fractional_positions": [[0.750, 0.750, 0.750], [0.000, 0.000, 0.000], [0.250, 0.250, 0.250], [0.500, 0.500, 0.500]], "magmom_total_mub_per_fu": 0.00, "dos_ef_per_ev_cell": 3.4, "spacegroup": "No. 216", "delta_e_f_mev_per_atom": -160}

---

{"formula": "Li2TbEr2Ga2", "functional": "PBE", "state": "optimized geometry", "lattice": [[4.591, 0.000, 0.000], [2.296, 3.976, 0.000], [2.296, 1.325, 8.692]], "species": ["Ga", "Ga", "Er", "Er", "Li", "Li", "Tb"], "fractional_positions": [[0.260, 0.260, 0.219], [0.740, 0.740, 0.781], [0.873, 0.873, 0.380], [0.127, 0.127, 0.620], [0.399, 0.399, 0.802], [0.601, 0.601, 0.198], [0.000, 0.000, 0.000]], "magmom_total_mub_per_fu": 0.00, "dos_ef_per_ev_cell": 4.8, "spacegroup": "No. 166", "delta_e_f_mev_per_atom": -277}

---

{"formula": "LiErGaTc", "functional": "PBE", "state": "optimized geometry", "lattice": [[-1.150, 3.576, 2.663], [-4.400, 0.671, 1.181], [-1.351, -0.706, 4.345]], "species": ["Er", "Ga", "Tc", "Li"], "fractional_positions": [[0.750, 0.750, 0.750], [0.250, 0.250, 0.250], [0.000, 0.000, 0.000], [0.500, 0.500, 0.500]], "magmom_total_mub_per_fu": 0.00, "dos_ef_per_ev_cell": 2.2, "spacegroup": "No. 216", "delta_e_f_mev_per_atom": -72}

---

{"formula": "LiErTlGa", "functional": "PBE", "state": "optimized geometry", "lattice": [[4.988, 0.000, 0.000], [2.494, 4.319, 0.000], [2.494, 1.440, 4.072]], "species": ["Ga", "Li", "Tl", "Er"], "fractional_positions": [[0.250, 0.250, 0.250], [0.500, 0.500, 0.500], [0.750, 0.750, 0.750], [0.000, 0.000, 0.000]], "magmom_total_mub_per_fu": 0.00, "dos_ef_per_ev_cell": 1.2, "spacegroup": "No. 216", "delta_e_f_mev_per_atom": -349}

---

{"formula": "Li2ErTm2Ga2", "functional": "PBE", "state": "optimized geometry", "lattice": [[4.559, 0.000, 0.000], [2.280, 3.948, 0.000], [2.280, 1.316, 8.651]], "species": ["Li", "Li", "Ga", "Ga", "Tm", "Tm", "Er"], "fractional_positions": [[0.602, 0.602, 0.194], [0.398, 0.398, 0.806], [0.739, 0.739, 0.783], [0.261, 0.261, 0.217], [0.874, 0.874, 0.379], [0.126, 0.126, 0.621], [0.000, 0.000, 0.000]], "magmom_total_mub_per_fu": 0.00, "dos_ef_per_ev_cell": 4.5, "spacegroup": "No. 166", "delta_e_f_mev_per_atom": -269}

---

Please write out number 2 again, unchanged.
{"formula": "LiErSc2Ga4", "functional": "PBE", "state": "optimized geometry", "lattice": [[4.733, 0.000, 0.000], [2.366, 4.099, 0.000], [2.366, 1.366, 7.941]], "species": ["Ga", "Ga", "Ga", "Ga", "Sc", "Sc", "Li", "Er"], "fractional_positions": [[0.127, 0.127, 0.619], [0.873, 0.873, 0.381], [0.379, 0.379, 0.863], [0.621, 0.621, 0.137], [0.244, 0.244, 0.267], [0.756, 0.756, 0.733], [0.500, 0.500, 0.500], [0.000, 0.000, 0.000]], "magmom_total_mub_per_fu": 0.00, "dos_ef_per_ev_cell": 3.4, "spacegroup": "No. 166", "delta_e_f_mev_per_atom": -510}